1.
Entry from the Alexandria database: a geometry-optimized CrPbS2Cl structure (GGA-PBE).

a b c (Å): 4.768 4.768 4.693
angles (deg): 90.00 90.00 90.00
Space group P4/mmm (No. 123)
Asymmetric unit:
Cr1 0.000 0.000 0.000 x1
Pb1 0.500 0.500 0.500 x1
S1 0.000 0.500 0.000 x2
Cl1 0.000 0.000 0.500 x1

Results
- DOS(E_F) (states/eV per atom) = 0.628
- E_form (uncorrected) (eV/atom) = -0.458
- electronic total energy (eV per atom) = -5.1444
- volume (Å³ per cell) = 106.7
- total magnetization (μB/cell) = 3.07

2.
Entry from the Alexandria database: a geometry-optimized DyPuV4 structure (GGA-PBE).

a b c (Å): 7.505 7.505 7.505
angles (deg): 90.00 90.00 90.00
Space group F-43m (No. 216)
Asymmetric unit:
Dy1 0.000 0.000 0.000 x4
Pu1 0.250 0.250 0.250 x4
V1 0.122 0.122 0.622 x16

Results
- DOS(E_F) (states/eV per atom) = 2.013
- electronic total energy (eV per atom) = -8.9011
- volume (Å³ per cell) = 422.8
- total magnetization (μB/cell) = 15.62
- formation energy from the elements (eV per atom) = 0.3337

3.
Entry from the Alexandria database: a geometry-optimized KMgAg2 structure (GGA-PBE).

a b c (Å): 9.876 3.194 6.813
angles (deg): 90.00 97.55 90.00
Space group Cm (No. 8)
Asymmetric unit:
K1 0.000 0.000 0.000 x2
Mg1 0.280 0.500 0.378 x2
Ag1 0.010 0.500 0.510 x2
Ag2 0.237 0.000 0.698 x2

Results
- DOS(E_F) (states/eV per atom) = 0.194
- electronic total energy (eV per atom) = -2.0322
- volume (Å³ per cell) = 213.1
- total magnetization (μB/cell) = 0.00
- formation energy from the elements (eV per atom) = 0.0664

4.
Entry from the Alexandria database: a geometry-optimized TbDy2Ho5Sc structure (GGA-PBE).

a b c (Å): 5.513 19.727 10.325
angles (deg): 90.00 90.00 90.00
Space group Cmc2_1 (No. 36)
Asymmetric unit:
Tb1 0.000 0.090 0.000 x4
Dy1 0.000 0.386 0.280 x4
Dy2 0.000 0.389 0.858 x4
Ho1 0.000 0.018 0.284 x4
Ho2 0.000 0.123 0.565 x4
Ho3 0.000 0.200 0.249 x4
Ho4 0.000 0.224 0.864 x4
Ho5 0.000 0.482 0.562 x4
Sc1 0.000 0.304 0.559 x4

Results
- DOS(E_F) (states/eV per atom) = 1.610
- electronic total energy (eV per atom) = -4.6169
- volume (Å³ per cell) = 1122.9
- total magnetization (μB/cell) = 0.00
- formation energy from the elements (eV per atom) = 0.1669

5.
Entry from the Alexandria database: a geometry-optimized ZrBRh3 structure (GGA-PBE).

a b c (Å): 3.959 4.022 9.018
angles (deg): 96.51 96.12 90.39
Space group P-1 (No. 2)
Asymmetric unit:
Zr1 0.042 0.285 0.141 x2
B1 0.378 0.146 0.554 x2
Rh1 0.085 0.849 0.354 x2
Rh2 0.415 0.654 0.643 x2
Rh3 0.463 0.220 0.882 x2

Results
- DOS(E_F) (states/eV per atom) = 0.564
- electronic total energy (eV per atom) = -8.0882
- volume (Å³ per cell) = 141.8
- total magnetization (μB/cell) = 0.00
- formation energy from the elements (eV per atom) = -0.6322

6.
Entry from the Alexandria database: a geometry-optimized AcCe3Ga2 structure (GGA-PBE).

a b c (Å): 18.336 4.731 8.067
angles (deg): 90.00 115.08 90.00
Space group C2/m (No. 12)
Asymmetric unit:
Ac1 0.112 0.000 0.182 x4
Ce1 0.066 0.000 0.663 x4
Ce2 0.130 0.500 0.571 x4
Ce3 0.203 0.500 0.964 x4
Ga1 0.018 0.500 0.833 x4
Ga2 0.247 0.000 0.620 x4

Results
- DOS(E_F) (states/eV per atom) = 1.869
- electronic total energy (eV per atom) = -4.9813
- volume (Å³ per cell) = 633.8
- total magnetization (μB/cell) = 3.00
- formation energy from the elements (eV per atom) = -0.3207